Entry 1:
This record from the Alexandria database describes a geometry-optimized Ba2Li2PaO6 structure. The functional is PBE.

E_form (uncorrected)   -2.614 eV/atom
Uncorrected energy   -227.02 eV per cell
Magnetic moment   0.097 μB per atom

Lattice parameters (Å, degrees): 6.0221 6.0221 16.7738 90.00 90.00 120.00
Space group R-3m (No. 166, hexagonal axes)
Unique sites:
Ba1 0.0000 0.0000 0.2198 x6
Li1 0.0000 0.0000 0.4236 x6
Pa1 0.0000 0.0000 0.0000 x3
O1 0.0192 0.5096 0.7496 x18


Entry 2:
This record from the Alexandria database describes a geometry-optimized HfAlTcIr structure. The functional is PBE.

Uncorrected energy   -143.30 eV per cell
ΔE_f   -726 meV/atom
Magnetic moment   0.000 μB per atom

Lattice parameters (Å, degrees): 6.313 6.313 6.313 90.00 90.00 90.00
Space group F-43m (No. 216)
Unique sites:
Hf1 0.000 0.000 0.000 x4
Al1 0.000 0.000 0.500 x4
Tc1 0.250 0.250 0.250 x4
Ir1 0.250 0.250 0.750 x4


Entry 3:
This record from the Alexandria database describes a geometry-optimized MnTePb2 structure. The functional is PBE.

E_form (uncorrected)   0.342 eV/atom
Uncorrected energy   -73.44 eV per cell
Magnetic moment   1.047 μB per atom

Lattice parameters (Å, degrees): 7.604 7.604 7.604 90.00 90.00 90.00
Space group F-43m (No. 216)
Unique sites:
Mn1 0.000 0.000 0.000 x4
Te1 0.250 0.250 0.750 x4
Pb1 0.000 0.000 0.500 x4
Pb2 0.250 0.250 0.250 x4


Entry 4:
This record from the Alexandria database describes a geometry-optimized LiCd2Ga2 structure. The functional is PBE.

Uncorrected energy   -19.71 eV per cell
ΔE_f   -12 meV/atom
Offset from the most stable computed form   21 meV/atom
Magnetic moment   0.000 μB per atom

Lattice parameters (Å, degrees): 4.353 4.353 11.851 90.00 90.00 90.00
Space group I4/mmm (No. 139)
Unique sites:
Li1 0.000 0.000 0.000 x2
Cd1 0.000 0.500 0.250 x4
Ga1 0.000 0.000 0.397 x4